Record 1
Th2MgFe2 after structural relaxation. Source: Alexandria via LeMat-Bulk, functional GGA-PBE.

## Properties
Calculated volume ... 112.4 Å³/cell
Total moment ... 2.38 μB/cell
ΔE_f ... -42 meV per atom

a b c (Å): 3.943 3.860 7.630
angles (deg): 104.65 90.00 90.00
Each line ends with the local moment (μB).
Fractional positions:
Fe  0.000  0.795  0.589  1.48
Fe  0.000  0.205  0.411  1.48
Th  0.500  0.361  0.721  -0.18
Th  0.500  0.639  0.279  -0.18
Mg  0.000  0.000  0.000  0.00



Record 2
Th3Mg2Fe after structural relaxation. Source: Alexandria via LeMat-Bulk, functional GGA-PBE.

## Properties
Calculated volume ... 326.8 Å³/cell
Total moment ... 0.00 μB/cell
ΔE_f ... -1 meV per atom

a b c (Å): 9.064 9.064 7.269
angles (deg): 90.00 90.00 146.83
Fractional positions:
Th  0.500  0.500  0.750
Th  0.118  0.882  0.500
Th  0.118  0.882  0.000
Th  0.500  0.500  0.250
Th  0.882  0.118  0.500
Th  0.882  0.118  0.000
Mg  0.705  0.296  0.750
Mg  0.704  0.295  0.250
Mg  0.295  0.704  0.250
Mg  0.296  0.705  0.750
Fe  0.000  0.000  0.750
Fe  0.000  0.000  0.250



Record 3
MgTi2Fe2 after structural relaxation. Source: Alexandria via LeMat-Bulk, functional GGA-PBE.

## Properties
Calculated volume ... 145.3 Å³/cell
Total moment ... 0.00 μB/cell
ΔE_f ... -73 meV per atom
ΔE to the lowest computed polymorph ... 0.0 meV per atom

a b c (Å): 7.032 7.032 2.938
angles (deg): 90.00 90.00 90.00
Fractional positions:
Ti  0.851  0.351  0.500
Ti  0.149  0.649  0.500
Ti  0.351  0.149  0.500
Ti  0.649  0.851  0.500
Fe  0.641  0.141  0.000
Fe  0.141  0.359  0.000
Fe  0.859  0.641  0.000
Fe  0.359  0.859  0.000
Mg  0.000  0.000  0.000
Mg  0.500  0.500  0.000



Record 4
MgTiFe3 after structural relaxation. Source: Alexandria via LeMat-Bulk, functional GGA-PBE.

## Properties
Calculated volume ... 83.5 Å³/cell
Total moment ... 5.41 μB/cell
ΔE_f ... 1339 meV per atom
ΔE to the lowest computed polymorph ... 451.7 meV per atom

a b c (Å): 4.371 4.371 4.371
angles (deg): 90.00 90.00 90.00
Each line ends with the local moment (μB).
Fractional positions:
Ti  0.500  0.500  0.500  -1.37
Fe  0.000  0.500  0.000  2.62
Fe  0.500  0.000  0.000  2.38
Fe  0.000  0.000  0.500  2.49
Mg  0.000  0.000  0.000  -0.07



Record 5
Mg6TiFe after structural relaxation. Source: Alexandria via LeMat-Bulk, functional GGA-PBE.

## Properties
Calculated volume ... 158.8 Å³/cell
Total moment ... 0.68 μB/cell
ΔE_f ... 203 meV per atom
ΔE to the lowest computed polymorph ... 43.9 meV per atom

a b c (Å): 6.190 6.190 4.923
angles (deg): 90.00 90.00 122.70
Each line ends with the local moment (μB).
Fractional positions:
Mg  0.174  0.826  0.000  0.01
Mg  0.328  0.171  0.500  -0.01
Mg  0.829  0.672  0.500  -0.01
Mg  0.683  0.317  0.000  -0.01
Mg  0.161  0.333  0.000  -0.01
Mg  0.667  0.839  0.000  -0.01
Fe  0.832  0.168  0.500  2.60
Ti  0.327  0.673  0.500  -1.26



Record 6
Mg2TiFe2 after structural relaxation. Source: Alexandria via LeMat-Bulk, functional GGA-PBE.

## Properties
Calculated volume ... 160.2 Å³/cell
Total moment ... 3.89 μB/cell
ΔE_f ... 206 meV per atom

a b c (Å): 6.060 6.060 4.363
angles (deg): 90.00 90.00 90.00
Each line ends with the local moment (μB).
Fractional positions:
Fe  0.372  0.872  0.000  1.37
Fe  0.872  0.628  0.000  1.37
Fe  0.628  0.128  0.000  1.37
Fe  0.128  0.372  0.000  1.37
Ti  0.000  0.000  0.000  -0.56
Ti  0.500  0.500  0.000  -0.57
Mg  0.328  0.172  0.500  -0.02
Mg  0.828  0.328  0.500  -0.02
Mg  0.172  0.672  0.500  -0.02
Mg  0.672  0.828  0.500  -0.02



What is the ΔE_f in the first record?
-42 meV per atom